1.
Entry from Alexandria via LeMat-Bulk: a geometry-optimized Ta2MnOs structure (PBE).

Calculated values
calculated volume: 16.110 Å³ per atom
formation energy from the elements: 0.212 eV/atom
total moment: 8.059 μB per cell
excess energy over the best structure of this formula in the dataset: 486.8 meV/atom

Cell lengths 2.8590, 2.8590, 27.3102 Å; angles 90.00, 90.00, 120.00 degrees
Space group R3m (No. 160, hexagonal axes)
Symmetry-distinct sites (fractional):
Ta  0.0000  0.0000  0.0000
Ta  0.0000  0.0000  0.2397
Mn  0.0000  0.0000  0.4921
Os  0.0000  0.0000  0.7501

2.
Entry from Alexandria via LeMat-Bulk: a geometry-optimized TaMn2Os2 structure (PBE).

Calculated values
calculated volume: 14.078 Å³ per atom
formation energy from the elements: 0.079 eV/atom
total moment: 1.054 μB per cell
excess energy over the best structure of this formula in the dataset: 67.9 meV/atom

Cell lengths 7.238, 7.238, 2.687 Å; angles 90.00, 90.00, 90.00 degrees
Space group P4/mbm (No. 127)
Symmetry-distinct sites (fractional):
Ta  0.000  0.000  0.000
Mn  0.169  0.331  0.500
Os  0.127  0.627  0.000

3.
Entry from Alexandria via LeMat-Bulk: a geometry-optimized Ta6MnOs structure (PBE).

Calculated values
calculated volume: 16.817 Å³ per atom
formation energy from the elements: -0.194 eV/atom
total moment: 0.000 μB per cell

Cell lengths 4.515, 4.515, 13.197 Å; angles 90.00, 90.00, 90.00 degrees
Space group I4/mmm (No. 139)
Symmetry-distinct sites (fractional):
Ta  0.000  0.000  0.249
Ta  0.000  0.500  0.119
Mn  0.000  0.000  0.000
Os  0.000  0.000  0.500

4.
Entry from Alexandria via LeMat-Bulk: a geometry-optimized Ta4MnOs structure (PBE).

Calculated values
calculated volume: 17.810 Å³ per atom
formation energy from the elements: 0.474 eV/atom
total moment: 14.491 μB per cell
excess energy over the best structure of this formula in the dataset: 276.1 meV/atom

Cell lengths 7.533, 7.533, 7.533 Å; angles 90.00, 90.00, 90.00 degrees
Space group F-43m (No. 216)
Symmetry-distinct sites (fractional):
Ta  0.125  0.125  0.125
Mn  0.250  0.250  0.750
Os  0.000  0.000  0.500

5.
Entry from Alexandria via LeMat-Bulk: a geometry-optimized Ta4MnOs structure (PBE).

Calculated values
calculated volume: 18.851 Å³ per atom
formation energy from the elements: 0.198 eV/atom
total moment: 0.000 μB per cell
excess energy over the best structure of this formula in the dataset: 0.0 meV/atom

Cell lengths 6.065, 6.065, 6.150 Å; angles 90.00, 90.11, 90.00 degrees
Space group C2/m (No. 12)
Symmetry-distinct sites (fractional):
Ta  0.250  0.250  0.240
Mn  0.000  0.000  0.000
Os  0.000  0.500  0.500

6.
Entry from Alexandria via LeMat-Bulk: a geometry-optimized Ta2MnOs structure (PBE).

Calculated values
calculated volume: 15.702 Å³ per atom
formation energy from the elements: -0.059 eV/atom
total moment: 1.832 μB per cell
excess energy over the best structure of this formula in the dataset: 215.7 meV/atom

Cell lengths 2.823, 4.227, 5.377 Å; angles 90.00, 101.81, 90.00 degrees
Space group P2/m (No. 10)
Symmetry-distinct sites (fractional):
Ta  0.248  0.000  0.252
Mn  0.000  0.500  0.500
Os  0.500  0.500  0.000

7.
Entry from Alexandria via LeMat-Bulk: a geometry-optimized Ta2MnOs structure (PBE).

Calculated values
calculated volume: 17.481 Å³ per atom
formation energy from the elements: 0.726 eV/atom
total moment: 12.132 μB per cell
excess energy over the best structure of this formula in the dataset: 1000.1 meV/atom

Cell lengths 3.891, 3.891, 18.478 Å; angles 90.00, 90.00, 90.00 degrees
Space group I-42d (No. 122)
Symmetry-distinct sites (fractional):
Ta  0.249  0.250  0.125
Mn  0.000  0.000  0.000
Os  0.000  0.000  0.500

8.
Entry from Alexandria via LeMat-Bulk: a geometry-optimized TaMnOs4 structure (PBE).

Calculated values
calculated volume: 14.815 Å³ per atom
formation energy from the elements: 0.173 eV/atom
total moment: 0.000 μB per cell
excess energy over the best structure of this formula in the dataset: 0.0 meV/atom

Cell lengths 4.938, 4.998, 7.418 Å; angles 86.59, 83.50, 77.97 degrees
Space group P-1 (No. 2)
Symmetry-distinct sites (fractional):
Ta  0.156  0.217  0.464
Mn  0.451  0.346  0.932
Os  0.011  0.584  0.167
Os  0.184  0.056  0.111
Os  0.338  0.833  0.753
Os  0.378  0.677  0.386